A PBEsol-optimized structure of Li2AlHg2, computed with SCAN.

Cell lengths 7.255, 7.255, 3.308 Å; angles 90.00, 90.00, 90.00 degrees
Fractional positions:
Li (0.135, 0.365, 0.000)
Li (0.365, 0.865, 0.000)
Li (0.635, 0.135, 0.000)
Li (0.865, 0.635, 0.000)
Al (0.000, 0.000, 0.000)
Al (0.500, 0.500, 0.000)
Hg (0.161, 0.661, 0.500)
Hg (0.339, 0.161, 0.500)
Hg (0.661, 0.839, 0.500)
Hg (0.839, 0.339, 0.500)

Output
relative energy among the computed polymorphs: 0.106 eV per atom
volume: 174.1 Å³ per cell
total magnetization: 0.000 μB/atom
calculated formation energy: -0.2100 eV/atom
raw total energy: -29.98 eV/atom